#1
A relaxed structure of AgOsRh2. Source: the Alexandria database, functional PBE-GGA.

Cell: 5.599 5.599 5.599 Å, 151.63 131.42 57.22°
Positions (direct):
Ag (0.509, 0.509, 0.000)
Os (0.774, 0.274, 0.500)
Rh (0.228, 0.728, 0.500)
Rh (0.988, 0.988, 0.000)

#2
A relaxed structure of AgOsRh2. Source: the Alexandria database, functional PBE-GGA.

Cell: 3.965 3.965 3.815 Å, 90.00 90.00 90.00°
Each line ends with the local moment (μB).
Positions (direct):
Os (0.000, 0.000, 0.500)  0.62
Ag (0.500, 0.500, 0.500)  0.05
Rh (0.000, 0.500, 0.000)  0.18
Rh (0.500, 0.000, 0.000)  0.18

Stability ranking, top and bottom: #1 is the most stable and #2 is the least stable.